The following is a GGA-PBEsol calculation of MnP2H6O5 after structural relaxation, from the Alexandria database.

* V: 10.6 Å³/atom
* total moment: 5.00 μB per formula unit
* E: -0.4315 Ry per atom

a b c (Å): 7.506 7.887 10.379
angles (deg): 90.00 105.85 90.00
Space group P2_1/c (No. 14)
Symmetry-distinct sites (fractional):
Mn1 0.205 0.051 0.101 (multiplicity 4)
P1 0.012 0.215 0.322 (multiplicity 4)
P2 0.454 0.106 0.668 (multiplicity 4)
H1 0.137 0.093 0.397 (multiplicity 4)
H2 0.168 0.648 0.192 (multiplicity 4)
H3 0.175 0.703 0.433 (multiplicity 4)
H4 0.342 0.517 0.082 (multiplicity 4)
H5 0.381 0.112 0.781 (multiplicity 4)
H6 0.397 0.678 0.465 (multiplicity 4)
O1 0.031 0.122 0.906 (multiplicity 4)
O2 0.043 0.232 0.183 (multiplicity 4)
O3 0.288 0.664 0.503 (multiplicity 4)
O4 0.347 0.544 0.790 (multiplicity 4)
O5 0.423 0.221 0.098 (multiplicity 4)